(1)
6
Lattice="3.650 -2.107 0.000 0.000 4.215 0.000 0.000 0.000 11.605" Properties=species:S:1:pos:R:3 comment="GGA-PBE RbGaSi, optimized geometry" formation_energy_uncorrected_ev_per_atom=-0.089 vol_a3_per_atom=29.76 pbc="T T T"
Ga 2.433 0.000 2.901
Rb 0.000 0.000 0.000
Si 2.433 0.000 8.704
Rb 0.000 0.000 5.803
Si 1.217 2.107 2.901
Ga 1.217 2.107 8.704

(2)
8
Lattice="-1.974 2.858 -3.354 -4.341 -0.627 2.020 -1.247 10.768 6.435" Properties=species:S:1:pos:R:3 comment="GGA-PBE Rb2GaSi, optimized geometry" formation_energy_uncorrected_ev_per_atom=0.713 vol_a3_per_atom=35.36 pbc="T T T"
Rb -2.092 4.406 -0.242
Rb -3.293 8.914 4.322
Rb -6.469 10.027 3.663
Ga -3.189 7.371 1.207
Rb -3.267 2.651 2.459
Si -3.157 1.116 -0.667
Ga 0.000 0.000 0.000
Si -4.372 5.628 3.894

(3)
6
Lattice="6.167 -3.560 0.000 6.167 3.560 0.000 0.000 0.000 4.297" Properties=species:S:1:pos:R:3 comment="GGA-PBE RbGaSi, optimized geometry" formation_energy_uncorrected_ev_per_atom=0.192 vol_a3_per_atom=31.45 pbc="T T T"
Ga 6.167 0.000 2.149
Si 6.167 1.780 0.521
Rb 9.250 0.000 0.000
Si 6.167 -1.780 3.776
Rb 3.083 0.000 0.000
Ga 0.000 0.000 2.149

(4)
6
Lattice="-1.649 1.054 3.672 5.689 -4.786 1.656 5.007 3.961 0.970" Properties=species:S:1:pos:R:3 comment="GGA-PBE RbGaSi, optimized geometry" formation_energy_uncorrected_ev_per_atom=0.057 vol_a3_per_atom=32.02 pbc="T T T"
Rb 2.716 0.069 2.341
Si 5.073 -2.760 1.871
Si 3.975 2.989 4.426
Ga 4.870 -3.233 4.299
Rb 6.331 0.160 3.957
Ga 4.178 3.462 1.999

How do the records compare in spin magnetization? In the order shown, they have 0.00 0.00 0.00 0.00 μB/cell.
How do the records compare in total energy? In the order shown, they have -3.23 -1.88 -2.95 -3.08 eV per atom.